! PrFe4P2, relaxed, DFT GGA-PBE; values from VASP
! V = 13.73 A^3/atom
! Magnetization = 13.82 Bohr magnetons per cell
! ΔH_f (0 K) = -0.57 eV per atom
! SG = P4_2/mnm (136)
! DFT total energy = -7.638 eV per atom
&SYSTEM
  ibrav = 0, nat = 14, ntyp = 3
/
ATOMIC_SPECIES
P 30.97 P.upf
Fe 55.84 Fe.upf
Pr 140.91 Pr.upf
ATOMIC_POSITIONS angstrom
P 5.7414 0.2414 1.1342
P 5.4858 0.3422 5.2036
Fe 6.1406 1.3894 3.1697
Fe 5.4089 -1.9686 5.7277
P 2.2008 -2.0681 5.0188
Pr 3.9711 -0.9133 3.0765
Fe 1.3541 0.0948 4.5438
Fe 7.0514 -0.8972 3.9257
Fe 0.8908 -0.9294 2.2274
Pr -0.2238 1.6554 0.7802
Fe 3.4255 -0.3816 6.1485
Fe 4.0692 1.8658 1.5650
Fe 2.5333 0.1419 0.4253
P 2.0089 1.1419 2.5099
CELL_PARAMETERS angstrom
-0.4475 3.3107 1.5605
0.8223 -2.9672 6.5312
7.1199 1.1406 -0.3782